No. 1
Below is crystalline Dy12Y7Er at its relaxed geometry, with properties calculated at the GGA-PBE level.

Cell and atoms, written as extended XYZ:
```
20
Lattice="6.431 0.000 1.861 -3.632 9.274 4.523 -0.833 0.000 10.907" Properties=species:S:1:pos:R:3 pbc="T T T"
Dy 0.808 1.985 3.800
Y 4.300 1.494 3.749
Dy 1.158 7.289 13.490
Dy 2.421 4.980 9.529
Dy -0.941 4.854 13.119
Dy 3.839 3.960 12.252
Y -2.864 7.937 7.344
Er 0.000 0.000 0.000
Y 3.215 0.000 0.930
Dy 4.471 0.561 6.792
Y 1.312 6.443 6.048
Y -2.334 7.780 13.541
Y 0.654 2.831 11.243
Dy -2.505 8.713 10.498
Dy -0.455 4.294 7.761
Dy -1.873 5.314 5.038
Dy 2.907 4.419 4.171
Dy 0.085 7.299 9.171
Dy 1.881 1.974 8.119
Y 4.830 1.337 9.946
```

Values from the calculation:
* formation energy: 0.326 eV per atom

=====

No. 2
Below is crystalline Ac3Pr2Pb4 at its relaxed geometry, with properties calculated at the GGA-PBE level.

Cell and atoms, written as extended XYZ:
```
9
Lattice="5.122 0.000 -1.432 -0.507 7.137 -1.815 -0.219 0.125 9.092" Properties=species:S:1:pos:R:3 pbc="T T T"
Ac 0.000 0.000 0.000
Pr 1.113 6.702 3.981
Pb 1.963 5.189 7.021
Pb 3.400 5.349 2.285
Pb 2.432 2.073 -1.176
Pr 3.282 0.559 1.864
Pb 0.995 1.912 3.560
Ac 4.105 3.143 4.811
Ac 0.289 4.119 1.035
```

Values from the calculation:
* formation energy: -0.498 eV per atom

=====

No. 3
Below is crystalline AcDy2Lu at its relaxed geometry, with properties calculated at the GGA-PBE level.

Cell and atoms, written as extended XYZ:
```
4
Lattice="5.205 0.000 0.000 0.000 5.105 0.000 0.000 0.000 5.105" Properties=species:S:1:pos:R:3 pbc="T T T"
Dy 0.000 0.000 2.552
Ac 2.603 0.000 0.000
Lu 2.603 2.552 2.552
Dy 0.000 2.552 0.000
```

Values from the calculation:
* formation energy: 0.068 eV per atom

=====

No. 4
Below is crystalline TlPtBr2 at its relaxed geometry, with properties calculated at the GGA-PBE level.

Cell and atoms, written as extended XYZ:
```
4
Lattice="3.746 0.000 0.000 0.000 3.746 0.000 0.000 0.000 8.336" Properties=species:S:1:pos:R:3 pbc="T T T"
Br 0.000 0.000 0.014
Pt 0.000 0.000 2.795
Br 1.873 1.873 3.095
Tl 1.873 1.873 6.600
```

Values from the calculation:
* E_form (uncorrected): -0.03 eV/atom

=====

No. 5
Below is crystalline Mn3As at its relaxed geometry, with properties calculated at the GGA-PBE level.

Cell and atoms, written as extended XYZ:
```
4
Lattice="-2.279 2.694 0.969 -1.540 -2.197 2.489 2.414 1.142 2.502" Properties=species:S:1:pos:R:3 pbc="T T T"
Mn 0.437 -0.527 2.495
Mn 0.067 1.918 1.735
As 0.000 0.000 0.000
Mn -1.910 0.248 1.729
```

Values from the calculation:
* formation energy: -0.071 eV per atom

=====

No. 6
Below is crystalline LaTbGaSi at its relaxed geometry, with properties calculated at the GGA-PBE level.

Cell and atoms, written as extended XYZ:
```
4
Lattice="-3.209 -3.507 -2.014 0.152 -4.888 1.653 -3.875 -1.885 2.842" Properties=species:S:1:pos:R:3 pbc="T T T"
La -3.466 -5.140 1.241
Ga -5.199 -7.710 1.861
Si -1.733 -2.570 0.620
Tb 0.000 0.000 0.000
```

Values from the calculation:
* E_form (uncorrected): -0.51 eV/atom

=====

No. 7
Below is crystalline SrLiScTl at its relaxed geometry, with properties calculated at the GGA-PBE level.

Cell and atoms, written as extended XYZ:
```
4
Lattice="5.380 0.000 0.000 2.690 4.659 0.000 2.690 1.553 4.393" Properties=species:S:1:pos:R:3 pbc="T T T"
Sr 8.070 4.659 3.295
Li 0.000 0.000 0.000
Tl 5.380 3.106 2.196
Sc 2.690 1.553 1.098
```

Values from the calculation:
* formation energy: -0.091 eV per atom

=====

No. 8
Below is crystalline HfCrHg2S at its relaxed geometry, with properties calculated at the GGA-PBE level.

Cell and atoms, written as extended XYZ:
```
5
Lattice="5.055 0.000 0.000 0.000 4.810 0.000 0.000 0.000 5.055" Properties=species:S:1:pos:R:3 pbc="T T T"
Hf 0.000 2.405 0.000
S 2.528 2.405 2.528
Hg 0.000 0.000 2.528
Hg 2.528 0.000 0.000
Cr 0.000 0.000 0.000
```

Values from the calculation:
* E_form (uncorrected): 0.81 eV/atom

=====

No. 9
Below is crystalline VSeSN2 at its relaxed geometry, with properties calculated at the GGA-PBE level.

Cell and atoms, written as extended XYZ:
```
5
Lattice="3.725 0.000 0.000 0.000 3.725 0.000 0.000 0.000 5.250" Properties=species:S:1:pos:R:3 pbc="T T T"
S 0.000 0.000 2.625
V 0.000 0.000 0.000
N 1.863 0.000 0.000
Se 1.863 1.863 2.625
N 0.000 1.863 0.000
```

Values from the calculation:
* E_form (uncorrected): 0.54 eV/atom

=====

No. 10
Below is crystalline RbTe2RhO8 at its relaxed geometry, with properties calculated at the GGA-PBE level.

Cell and atoms, written as extended XYZ:
```
12
Lattice="-1.435 5.069 -0.436 -3.335 -3.519 2.107 3.388 1.659 8.134" Properties=species:S:1:pos:R:3 pbc="T T T"
O -1.157 2.129 6.313
Rb 0.000 0.000 0.000
O -3.087 0.602 4.781
Rh 1.694 0.830 4.067
O 1.705 2.608 5.023
O -1.698 2.388 1.301
O -0.225 1.081 3.491
Te -1.009 2.725 2.953
Te -0.372 0.484 6.851
O -1.073 -1.829 4.438
O -0.309 5.039 5.366
O 0.316 0.822 8.503
```

Values from the calculation:
* E_form (uncorrected): -0.91 eV/atom

=====

No. 11
Below is crystalline Sm4Y2Er at its relaxed geometry, with properties calculated at the GGA-PBE level.

Cell and atoms, written as extended XYZ:
```
14
Lattice="6.283 0.000 -0.300 0.000 6.589 0.000 -2.469 0.000 11.268" Properties=species:S:1:pos:R:3 pbc="T T T"
Sm 0.408 0.066 7.950
Sm -0.201 4.942 5.052
Sm 4.014 1.647 5.917
Er 0.569 4.942 1.834
Y 1.428 4.942 10.991
Sm 0.408 3.228 7.950
Sm 3.405 3.361 3.019
Y 2.386 1.647 -0.022
Sm 5.641 1.647 1.215
Sm -1.828 4.942 9.754
Y 0.804 1.647 4.644
Er 3.245 1.647 9.135
Sm 3.405 6.522 3.019
Y 3.010 4.942 6.325
```

Values from the calculation:
* formation energy: 0.123 eV per atom

=====

No. 12
Below is crystalline SrMgGa2Co at its relaxed geometry, with properties calculated at the GGA-PBE level.

Cell and atoms, written as extended XYZ:
```
5
Lattice="4.679 0.000 0.000 0.000 4.679 0.000 0.000 0.000 4.832" Properties=species:S:1:pos:R:3 pbc="T T T"
Sr 2.339 2.339 2.416
Ga 2.339 0.000 0.000
Mg 0.000 0.000 2.416
Co 0.000 0.000 0.000
Ga 0.000 2.339 0.000
```

Values from the calculation:
* formation energy: -0.272 eV per atom